4
Lattice="0.000 3.964 3.964 3.964 0.000 3.964 3.964 3.964 0.000" Properties=species:S:1:pos:R:3 comment="SrIn2Te, optimized geometry, DFT GGA-PBE" crystal_system=cubic raw_formation_energy_kcal_per_mol_atoms=-9.80 final_energy_ev_per_cell=-12.00 pbc="T T T"
Sr 0.000 0.000 0.000
In 1.982 1.982 1.982
In 3.964 3.964 3.964
Te 5.947 5.947 5.947


5
Lattice="6.203 0.000 0.000 0.000 6.203 0.000 0.000 0.000 6.203" Properties=species:S:1:pos:R:3 comment="Sr3InTe, optimized geometry, DFT GGA-PBE" crystal_system=cubic raw_formation_energy_kcal_per_mol_atoms=-11.45 final_energy_ev_per_cell=-13.41 pbc="T T T"
Sr 0.000 0.000 3.102
Sr 0.000 3.102 0.000
Sr 3.102 0.000 0.000
In 3.102 3.102 3.102
Te 0.000 0.000 0.000


4
Lattice="-2.302 2.302 6.170 2.302 -2.302 6.170 2.302 2.302 -6.170" Properties=species:S:1:pos:R:3 comment="SrInTe2, optimized geometry, DFT GGA-PBE" crystal_system=tetragonal raw_formation_energy_kcal_per_mol_atoms=-17.22 final_energy_ev_per_cell=-13.69 pbc="T T T"
Sr 0.000 0.000 0.000
In 0.000 2.302 3.085
Te 2.302 0.000 3.085
Te 0.000 0.000 6.170


4
Lattice="3.708 -4.518 0.000 3.708 4.518 0.000 0.000 0.000 4.041" Properties=species:S:1:pos:R:3 comment="Sr2InTe, optimized geometry, DFT GGA-PBE" crystal_system=orthorhombic raw_formation_energy_kcal_per_mol_atoms=-19.09 final_energy_ev_per_cell=-12.56 pbc="T T T"
Sr 1.854 2.259 0.000
Sr 1.854 -2.259 0.000
In 0.000 0.000 2.020
Te 3.708 0.000 2.020


Number 4 is which compound? Sr2InTe